No. 1
Density functional theory data (PBE) for a relaxed structure of LiDy2CuS4.

Summary:
Raw formation energy in meV/atom: -1525
Calculated volume in Å³ per atom: 19.76
Density in g cm⁻³: 5.502

```
data_LiDy2CuS4
_chemical_formula_sum 'Li1 Dy2 Cu1 S4'
_symmetry_space_group_name_H-M 'P 1 2/m 1'
_symmetry_Int_Tables_number 10
_cell_length_a 6.4968
_cell_length_b 3.8727
_cell_length_c 6.8317
_cell_angle_alpha 90.00
_cell_angle_beta 113.13
_cell_angle_gamma 90.00
loop_
_symmetry_equiv_pos_as_xyz
'x,y,z'
'-x,-y,-z'
'-x,y,-z'
'x,-y,z'
loop_
_atom_site_label
_atom_site_type_symbol
_atom_site_fract_x
_atom_site_fract_y
_atom_site_fract_z
Li1 Li 0.0000 0.0000 0.0000
Dy1 Dy 0.5000 0.0000 0.5000
Dy2 Dy 0.5000 0.5000 0.0000
Cu1 Cu 0.0000 0.5000 0.5000
S1 S 0.2359 0.0000 0.7332
S2 S 0.2465 0.5000 0.2372
```

---

No. 2
Density functional theory data (PBE) for a relaxed structure of Li2DyCu2Sb2.

Summary:
Raw formation energy in meV/atom: -538
Calculated volume in Å³ per atom: 19.92
Density in g cm⁻³: 6.514

```
data_Li2DyCu2Sb2
_chemical_formula_sum 'Li6 Dy3 Cu6 Sb6'
_symmetry_space_group_name_H-M 'R -3 m'
_symmetry_Int_Tables_number 166
_symmetry_space_group_name_Hall '-R 3 2"'
_cell_length_a 4.4064
_cell_length_b 4.4064
_cell_length_c 24.8782
_cell_angle_alpha 90.00
_cell_angle_beta 90.00
_cell_angle_gamma 120.00
loop_
_atom_site_label
_atom_site_type_symbol
_atom_site_fract_x
_atom_site_fract_y
_atom_site_fract_z
Li1 Li 0.0000 0.0000 0.1362
Dy1 Dy 0.0000 0.0000 0.0000
Cu1 Cu 0.0000 0.0000 0.4051
Sb1 Sb 0.0000 0.0000 0.2516
```

---

No. 3
Density functional theory data (PBE) for a relaxed structure of LiDyScCu.

Summary:
Calculated volume in Å³ per atom: 20.44
Density in g cm⁻³: 5.645
Energy of formation from the pure elements in eV per atom: -0.0308

```
data_LiDyScCu
_chemical_formula_sum 'Li4 Dy4 Sc4 Cu4'
_symmetry_space_group_name_H-M 'F -4 3 m'
_symmetry_Int_Tables_number 216
_symmetry_space_group_name_Hall 'F -4 2 3'
_cell_length_a 6.8898
_cell_length_b 6.8898
_cell_length_c 6.8898
_cell_angle_alpha 90.00
_cell_angle_beta 90.00
_cell_angle_gamma 90.00
loop_
_atom_site_label
_atom_site_type_symbol
_atom_site_fract_x
_atom_site_fract_y
_atom_site_fract_z
Li1 Li 0.0000 0.0000 0.0000
Dy1 Dy 0.2500 0.2500 0.7500
Sc1 Sc 0.2500 0.2500 0.2500
Cu1 Cu 0.0000 0.0000 0.5000
```

---

No. 4
Density functional theory data (PBE) for a relaxed structure of LiDy2CuSe4.

Summary:
Raw formation energy in meV/atom: -1376
Calculated volume in Å³ per atom: 22.53
Density in g cm⁻³: 6.552

```
data_LiDy2CuSe4
_chemical_formula_sum 'Li1 Dy2 Cu1 Se4'
_symmetry_space_group_name_H-M 'P 1 2/m 1'
_symmetry_Int_Tables_number 10
_cell_length_a 6.8144
_cell_length_b 4.0371
_cell_length_c 7.0739
_cell_angle_alpha 90.00
_cell_angle_beta 112.12
_cell_angle_gamma 90.00
loop_
_symmetry_equiv_pos_as_xyz
'x,y,z'
'-x,-y,-z'
'-x,y,-z'
'x,-y,z'
loop_
_atom_site_label
_atom_site_type_symbol
_atom_site_fract_x
_atom_site_fract_y
_atom_site_fract_z
Li1 Li 0.0000 0.0000 0.0000
Dy1 Dy 0.5000 0.0000 0.5000
Dy2 Dy 0.5000 0.5000 0.0000
Cu1 Cu 0.0000 0.5000 0.5000
Se1 Se 0.2336 0.0000 0.7349
Se2 Se 0.2431 0.5000 0.2402
```

---

No. 5
Density functional theory data (PBE) for a relaxed structure of LiDyCuSi2.

Summary:
Raw formation energy in meV/atom: -552
Calculated volume in Å³ per atom: 16.23
Density in g cm⁻³: 5.917

```
data_LiDyCuSi2
_chemical_formula_sum 'Li2 Dy2 Cu2 Si4'
_symmetry_space_group_name_H-M 'I -4 m 2'
_symmetry_Int_Tables_number 119
_symmetry_space_group_name_Hall 'I -4 -2'
_cell_length_a 3.9721
_cell_length_b 3.9721
_cell_length_c 10.2868
_cell_angle_alpha 90.00
_cell_angle_beta 90.00
_cell_angle_gamma 90.00
loop_
_atom_site_label
_atom_site_type_symbol
_atom_site_fract_x
_atom_site_fract_y
_atom_site_fract_z
Li1 Li 0.0000 0.0000 0.0000
Dy1 Dy 0.0000 0.5000 0.2500
Cu1 Cu 0.0000 0.0000 0.5000
Si1 Si 0.0000 0.5000 0.6360
```

---

No. 6
Density functional theory data (PBE) for a relaxed structure of Li3Dy2Cu12Si.

Summary:
Raw formation energy in meV/atom: 22
Calculated volume in Å³ per atom: 15.31
Density in g cm⁻³: 6.850

```
data_Li3Dy2Cu12Si
_chemical_formula_sum 'Li9 Dy6 Cu36 Si3'
_symmetry_space_group_name_H-M 'R -3 m'
_symmetry_Int_Tables_number 166
_symmetry_space_group_name_Hall '-R 3 2"'
_cell_length_a 5.2196
_cell_length_b 5.2196
_cell_length_c 35.0307
_cell_angle_alpha 90.00
_cell_angle_beta 90.00
_cell_angle_gamma 120.00
loop_
_atom_site_label
_atom_site_type_symbol
_atom_site_fract_x
_atom_site_fract_y
_atom_site_fract_z
Li1 Li 0.0000 0.5000 0.0000
Dy1 Dy 0.0000 0.0000 0.1452
Cu1 Cu 0.0019 0.5010 0.1115
Cu2 Cu 0.0139 0.5070 0.6096
Si1 Si 0.0000 0.0000 0.5000
```

---

No. 7
Density functional theory data (PBE) for a relaxed structure of Li2Dy2CuSi4.

Summary:
Raw formation energy in meV/atom: -393
Calculated volume in Å³ per atom: 16.76
Density in g cm⁻³: 5.666

```
data_Li2Dy2CuSi4
_chemical_formula_sum 'Li4 Dy4 Cu2 Si8'
_symmetry_space_group_name_H-M 'I 4/m m m'
_symmetry_Int_Tables_number 139
_symmetry_space_group_name_Hall '-I 4 2'
_cell_length_a 5.9362
_cell_length_b 5.9362
_cell_length_c 8.5619
_cell_angle_alpha 90.00
_cell_angle_beta 90.00
_cell_angle_gamma 90.00
loop_
_atom_site_label
_atom_site_type_symbol
_atom_site_fract_x
_atom_site_fract_y
_atom_site_fract_z
Li1 Li 0.0000 0.0000 0.2166
Dy1 Dy 0.0000 0.5000 0.2500
Cu1 Cu 0.0000 0.0000 0.5000
Si1 Si 0.2118 0.2118 0.0000
```

---

No. 8
Density functional theory data (PBE) for a relaxed structure of LiSmDyCu.

Summary:
Calculated volume in Å³ per atom: 23.15
Density in g cm⁻³: 6.873
Energy of formation from the pure elements in eV per atom: -0.0143

```
data_LiSmDyCu
_chemical_formula_sum 'Li4 Sm4 Dy4 Cu4'
_symmetry_space_group_name_H-M 'F -4 3 m'
_symmetry_Int_Tables_number 216
_symmetry_space_group_name_Hall 'F -4 2 3'
_cell_length_a 7.1821
_cell_length_b 7.1821
_cell_length_c 7.1821
_cell_angle_alpha 90.00
_cell_angle_beta 90.00
_cell_angle_gamma 90.00
loop_
_atom_site_label
_atom_site_type_symbol
_atom_site_fract_x
_atom_site_fract_y
_atom_site_fract_z
Li1 Li 0.0000 0.0000 0.0000
Sm1 Sm 0.2500 0.2500 0.7500
Dy1 Dy 0.2500 0.2500 0.2500
Cu1 Cu 0.0000 0.0000 0.5000
```

---

Number 1: magnetic moment 0.00 μB per atom. Number 2: magnetic moment 0.00 μB per atom. Number 3: magnetic moment 0.00 μB per atom. Number 4: magnetic moment 0.00 μB per atom. Number 5: magnetic moment 0.00 μB per atom. Number 6: magnetic moment 0.00 μB per atom. Number 7: magnetic moment 0.00 μB per atom. Number 8: magnetic moment 0.00 μB per atom.